## ZrTaO2F (GGA-PBE)

Data for a relaxed ZrTaO2F crystal.

Unit cell a=4.206 b=4.206 c=4.187 alpha=90.00 beta=90.00 gamma=90.00
Last column: magnetic moment on the atom in μB.
Fractional coordinates of all 5 atoms:
O: 0.500 0.000 0.000  0.00
Ta: 0.500 0.500 0.500  2.31
F: 0.000 0.000 0.500  0.08
Zr: 0.000 0.000 0.000  0.16
O: 0.000 0.500 0.000  0.00

Summary:
Space-group type: P4/mmm, No. 123


## ZrTaOF2 (GGA-PBE)

Data for a relaxed ZrTaOF2 crystal.

Unit cell a=4.341 b=4.341 c=4.187 alpha=90.00 beta=90.00 gamma=90.00
Last column: magnetic moment on the atom in μB.
Fractional coordinates of all 5 atoms:
F: 0.500 0.000 0.000  0.10
F: 0.000 0.500 0.000  0.10
Ta: 0.500 0.500 0.500  2.45
Zr: 0.000 0.000 0.000  0.41
O: 0.000 0.000 0.500  0.00

Summary:
Space-group type: P4/mmm, No. 123


## ZrTaOF2 (GGA-PBE)

Data for a relaxed ZrTaOF2 crystal.

Unit cell a=4.327 b=4.327 c=3.978 alpha=90.00 beta=90.00 gamma=90.00
Last column: magnetic moment on the atom in μB.
Fractional coordinates of all 5 atoms:
F: 0.500 0.000 0.000  0.09
O: 0.000 0.000 0.500  -0.01
F: 0.000 0.500 0.000  0.09
Zr: 0.500 0.500 0.500  1.64
Ta: 0.000 0.000 0.000  0.62

Summary:
Space-group type: P4/mmm, No. 123


## ZrTaO2F (GGA-PBE)

Data for a relaxed ZrTaO2F crystal.

Unit cell a=4.023 b=4.023 c=4.259 alpha=90.00 beta=90.00 gamma=90.00
Last column: magnetic moment on the atom in μB.
Fractional coordinates of all 5 atoms:
O: 0.500 0.000 0.000  0.00
Ta: 0.000 0.000 0.000  0.07
O: 0.000 0.500 0.000  0.00
F: 0.000 0.000 0.500  0.07
Zr: 0.500 0.500 0.500  1.46

Summary:
Space-group type: P4/mmm, No. 123


Number 1: DOS(E_F) 0.616 states/eV per atom, magnetic moment 0.748 μB per atom, ΔE_f (raw) -6.6 eV per formula unit. Number 2: DOS(E_F) 0.637 states/eV per atom, magnetic moment 0.914 μB per atom, ΔE_f (raw) -6.0 eV per formula unit. Number 3: DOS(E_F) 0.842 states/eV per atom, magnetic moment 0.715 μB per atom, ΔE_f (raw) -6.3 eV per formula unit. Number 4: DOS(E_F) 0.923 states/eV per atom, magnetic moment 0.472 μB per atom, ΔE_f (raw) -7.8 eV per formula unit.